Entry 1:
The following is a DFT calculation (PBE-GGA) of a relaxed structure of CaZr.

Summary:
N(E_F) (states/eV per cell): 1.786
Crystal system: trigonal
ΔE to the lowest computed polymorph (meV per atom): 190

Lattice parameters (Å, degrees): 6.283 6.283 6.283 30.46 30.46 30.46
Sites, in units of the cell vectors:
Ca (0.000, 0.000, 0.000)
Zr (0.500, 0.500, 0.500)



Entry 2:
The following is a DFT calculation (PBE-GGA) of a relaxed structure of CaZr.

Summary:
N(E_F) (states/eV per cell): 5.271
Crystal system: tetragonal
ΔE to the lowest computed polymorph (meV per atom): 416

Lattice parameters (Å, degrees): 5.528 5.528 3.769 90.00 90.00 90.00
Sites, in units of the cell vectors:
Ca (0.250, 0.750, 0.000)
Ca (0.750, 0.250, 0.000)
Zr (0.250, 0.250, 0.500)
Zr (0.750, 0.750, 0.500)



Entry 3:
The following is a DFT calculation (PBE-GGA) of a relaxed structure of CaZr3.

Summary:
N(E_F) (states/eV per cell): 9.441
Crystal system: orthorhombic

Lattice parameters (Å, degrees): 5.280 5.902 6.590 90.00 90.00 90.00
Sites, in units of the cell vectors:
Ca (0.000, 0.644, 0.000)
Ca (0.500, 0.356, 0.500)
Zr (0.500, 0.306, 0.000)
Zr (0.000, 0.694, 0.500)
Zr (0.000, 0.143, 0.248)
Zr (0.000, 0.143, 0.752)
Zr (0.500, 0.857, 0.748)
Zr (0.500, 0.857, 0.252)



Entry 4:
The following is a DFT calculation (PBE-GGA) of a relaxed structure of Ca3Zr.

Summary:
N(E_F) (states/eV per cell): 5.888
Crystal system: tetragonal
ΔE to the lowest computed polymorph (meV per atom): 0

Lattice parameters (Å, degrees): 3.595 3.595 10.635 90.00 90.00 90.00
Sites, in units of the cell vectors:
Ca (0.000, 0.000, 0.968)
Ca (0.500, 0.500, 0.250)
Ca (0.000, 0.000, 0.532)
Zr (0.500, 0.500, 0.750)



Entry 5:
The following is a DFT calculation (PBE-GGA) of a relaxed structure of CaZr3.

Summary:
N(E_F) (states/eV per cell): 7.378
Crystal system: orthorhombic

Lattice parameters (Å, degrees): 6.345 6.345 5.384 90.00 90.00 95.91
Sites, in units of the cell vectors:
Ca (0.422, 0.578, 0.250)
Ca (0.578, 0.422, 0.750)
Zr (0.913, 0.087, 0.750)
Zr (0.087, 0.913, 0.250)
Zr (0.068, 0.616, 0.750)
Zr (0.932, 0.384, 0.250)
Zr (0.384, 0.932, 0.750)
Zr (0.616, 0.068, 0.250)



Entry 6:
The following is a DFT calculation (PBE-GGA) of a relaxed structure of CaZr.

Summary:
N(E_F) (states/eV per cell): 9.268
Crystal system: hexagonal
ΔE to the lowest computed polymorph (meV per atom): 1668

Lattice parameters (Å, degrees): 5.588 5.588 6.069 90.00 90.00 120.00
Each line ends with the local moment (μB).
Sites, in units of the cell vectors:
Ca (0.333, 0.667, 0.250)  0.06
Ca (0.667, 0.333, 0.750)  0.06
Zr (0.333, 0.667, 0.750)  0.43
Zr (0.667, 0.333, 0.250)  0.43



Entry 7:
The following is a DFT calculation (PBE-GGA) of a relaxed structure of CaZr3.

Summary:
N(E_F) (states/eV per cell): 5.945
Crystal system: orthorhombic

Lattice parameters (Å, degrees): 5.766 5.766 3.219 90.00 90.00 110.27
Sites, in units of the cell vectors:
Ca (0.000, 0.000, 0.000)
Zr (0.000, 0.500, 0.500)
Zr (0.500, 0.000, 0.500)
Zr (0.500, 0.500, 0.000)



Entry 8:
The following is a DFT calculation (PBE-GGA) of a relaxed structure of Ca3Zr.

Summary:
N(E_F) (states/eV per cell): 6.976
Crystal system: tetragonal
ΔE to the lowest computed polymorph (meV per atom): 117

Lattice parameters (Å, degrees): 6.313 6.313 6.313 131.45 131.45 71.10
Each line ends with the local moment (μB).
Sites, in units of the cell vectors:
Ca (0.250, 0.750, 0.500)  0.08
Ca (0.500, 0.500, 0.000)  0.07
Ca (0.750, 0.250, 0.500)  0.08
Zr (0.000, 0.000, 0.000)  1.19



Entry 9:
The following is a DFT calculation (PBE-GGA) of a relaxed structure of CaZr.

Summary:
N(E_F) (states/eV per cell): 18.030
Crystal system: orthorhombic
ΔE to the lowest computed polymorph (meV per atom): 191

Lattice parameters (Å, degrees): 3.321 6.085 17.957 90.00 90.00 90.00
Sites, in units of the cell vectors:
Ca (0.000, 0.743, 0.682)
Ca (0.500, 0.257, 0.818)
Ca (0.500, 0.257, 0.182)
Ca (0.000, 0.743, 0.318)
Ca (0.000, 0.338, 0.000)
Ca (0.500, 0.662, 0.500)
Zr (0.000, 0.766, 0.866)
Zr (0.500, 0.234, 0.634)
Zr (0.500, 0.234, 0.366)
Zr (0.000, 0.766, 0.134)
Zr (0.000, 0.169, 0.500)
Zr (0.500, 0.831, 0.000)



Entry 10:
The following is a DFT calculation (PBE-GGA) of a relaxed structure of Ca3Zr.

Summary:
N(E_F) (states/eV per cell): 6.089
Crystal system: cubic
ΔE to the lowest computed polymorph (meV per atom): 139

Lattice parameters (Å, degrees): 5.766 5.766 5.766 60.00 60.00 60.00
Each line ends with the local moment (μB).
Sites, in units of the cell vectors:
Ca (0.000, 0.000, 0.000)  0.02
Ca (0.250, 0.250, 0.250)  0.00
Ca (0.500, 0.500, 0.500)  0.02
Zr (0.750, 0.750, 0.750)  0.45



Entry 11:
The following is a DFT calculation (PBE-GGA) of a relaxed structure of CaZr.

Summary:
N(E_F) (states/eV per cell): 6.714
Crystal system: orthorhombic
ΔE to the lowest computed polymorph (meV per atom): 54

Lattice parameters (Å, degrees): 8.775 8.775 4.240 90.00 90.00 157.32
Sites, in units of the cell vectors:
Ca (0.588, 0.412, 0.750)
Ca (0.412, 0.588, 0.250)
Zr (0.786, 0.214, 0.750)
Zr (0.214, 0.786, 0.250)



Entry 12:
The following is a DFT calculation (PBE-GGA) of a relaxed structure of CaZr.

Summary:
N(E_F) (states/eV per cell): 17.345
Crystal system: orthorhombic
ΔE to the lowest computed polymorph (meV per atom): 41

Lattice parameters (Å, degrees): 11.968 3.378 11.973 90.00 90.00 90.00
Sites, in units of the cell vectors:
Ca (0.873, 0.250, 0.063)
Ca (0.373, 0.250, 0.437)
Ca (0.127, 0.750, 0.937)
Ca (0.627, 0.750, 0.563)
Ca (0.176, 0.250, 0.215)
Ca (0.676, 0.250, 0.285)
Ca (0.824, 0.750, 0.785)
Ca (0.324, 0.750, 0.715)
Zr (0.891, 0.250, 0.517)
Zr (0.391, 0.250, 0.983)
Zr (0.109, 0.750, 0.483)
Zr (0.609, 0.750, 0.017)
Zr (0.068, 0.250, 0.691)
Zr (0.568, 0.250, 0.809)
Zr (0.932, 0.750, 0.309)
Zr (0.432, 0.750, 0.191)



Taking the records one at a time from the top gives ΔE_f values of 382; 608; 258; 257; 429; 1860; 301; 374; 383; 396; 246; 232 meV/atom.
Taking the records one at a time from the top gives VASP energy values of -4.89; -4.67; -6.65; -3.38; -6.48; -3.42; -6.61; -3.26; -4.89; -3.24; -5.03; -5.04 eV per atom.